No. 1
First-principles (GGA-PBE) data for crystalline Mg2Sb2Au at its relaxed geometry, as listed in the Alexandria database.

Geometry as POSCAR:
```
Mg2Sb2Au
1.0
-2.9923 -6.2851 4.5932
0.8928 -5.1655 -6.4866
3.2045 -0.7606 1.0468
Mg Au Sb
4 2 4
Direct
0.1301 0.6302 0.5000
0.8698 0.3698 0.5000
0.6302 0.8698 0.5000
0.3698 0.1301 0.5000
0.5000 0.5000 0.0000
0.0000 0.0000 0.0000
0.6742 0.1742 0.0000
0.3258 0.8258 0.0000
0.8258 0.6742 0.0000
0.1742 0.3258 0.0000
```

Summary:
As for the raw formation energy: -0.057 eV/atom. Its space-group type is P4/mbm (127).


No. 2
First-principles (GGA-PBE) data for crystalline MgSb2Au at its relaxed geometry, as listed in the Alexandria database.

Geometry as POSCAR:
```
MgSb2Au
1.0
-4.3522 4.6739 -3.9162
-6.1769 1.0623 -4.1038
-6.6291 3.3919 -0.8209
Au Sb Mg
1 2 1
Direct
0.2500 0.2500 0.2500
0.9913 0.9913 0.9913
0.5087 0.5087 0.5087
0.7500 0.7500 0.7500
```

Summary:
As for the raw formation energy: -0.059 eV/atom. Its space-group type is R-3m (166).


No. 3
First-principles (GGA-PBE) data for crystalline MgSbAu at its relaxed geometry, as listed in the Alexandria database.

Geometry as POSCAR:
```
MgSbAu
1.0
4.7058 -0.0002 0.1012
2.3524 4.0796 0.0521
-0.1821 0.0022 8.5042
Mg Sb Au
2 2 2
Direct
0.8797 0.0339 0.2621
0.5442 0.7100 0.7621
0.5465 0.7007 0.4259
0.8778 0.0427 0.9259
0.2109 0.3766 0.8640
0.2133 0.3669 0.3640
```

Summary:
As for the raw formation energy: -0.299 eV/atom. Its space-group type is P2_1 (4).


No. 4
First-principles (GGA-PBE) data for crystalline MgSb2Au at its relaxed geometry, as listed in the Alexandria database.

Geometry as POSCAR:
```
MgSb2Au
1.0
5.7660 0.0335 0.0000
2.3540 5.2637 0.0000
-4.0600 -2.6486 3.1223
Sb Au Mg
2 1 1
Direct
0.5000 0.5000 0.0000
0.0000 0.0000 0.0000
0.2500 0.7500 0.5000
0.7500 0.2500 0.5000
```

Summary:
As for the raw formation energy: -0.022 eV/atom. Its space-group type is I4/mmm (139).


No. 5
First-principles (GGA-PBE) data for crystalline Mg2SbAu at its relaxed geometry, as listed in the Alexandria database.

Geometry as POSCAR:
```
Mg2SbAu
1.0
-3.4642 2.1584 -1.5812
-2.0994 0.0701 -3.8402
-5.0137 -4.5449 1.1723
Sb Mg Au
1 2 1
Direct
0.7500 0.7500 0.7500
0.5081 0.5081 0.4771
0.9919 0.9919 0.0229
0.2500 0.2500 0.2500
```

Summary:
As for the raw formation energy: -0.323 eV/atom. Its space-group type is C2/m (12).


No. 6
First-principles (GGA-PBE) data for crystalline MgSbAu2 at its relaxed geometry, as listed in the Alexandria database.

Geometry as POSCAR:
```
MgSbAu2
1.0
-0.1607 3.9392 -2.5608
-3.1815 2.5868 -2.2994
-1.3798 3.8716 4.0848
Au Sb Mg
2 1 1
Direct
0.0107 0.0107 0.9664
0.4893 0.4893 0.5336
0.2500 0.2500 0.2500
0.7500 0.7500 0.7500
```

Summary:
As for the raw formation energy: -0.251 eV/atom. Its space-group type is C2/m (12).


No. 7
First-principles (GGA-PBE) data for crystalline Mg2SbAu at its relaxed geometry, as listed in the Alexandria database.

Geometry as POSCAR:
```
Mg2SbAu
1.0
3.5187 0.0000 0.0000
0.0000 3.2790 0.0307
0.0000 3.2583 7.4084
Mg Sb Au
2 1 1
Direct
0.0000 0.4646 0.5379
0.0000 0.0354 0.9621
0.5000 0.2500 0.2500
0.5000 0.7500 0.7500
```

Summary:
As for the raw formation energy: -0.364 eV/atom. Its space-group type is P2/m (10).


No. 8
First-principles (GGA-PBE) data for crystalline SmMgSbAu at its relaxed geometry, as listed in the Alexandria database.

Geometry as POSCAR:
```
SmMgSbAu
1.0
5.1567 0.0000 0.0000
2.5783 4.4658 0.0000
2.5783 1.4886 4.2104
Sm Au Sb Mg
1 1 1 1
Direct
0.7500 0.7500 0.7500
0.0000 0.0000 0.0000
0.5000 0.5000 0.5000
0.2500 0.2500 0.2500
```

Summary:
As for the raw formation energy: -0.584 eV/atom. Its space-group type is F-43m (216).


No. 9
First-principles (GGA-PBE) data for crystalline MgSnSb2Au at its relaxed geometry, as listed in the Alexandria database.

Geometry as POSCAR:
```
MgSnSb2Au
1.0
-0.7841 5.4177 1.5470
-5.0740 -0.8965 0.5677
0.8608 -1.4284 5.4386
Sb Sn Mg Au
2 1 1 1
Direct
0.0000 0.0000 0.5000
0.5000 0.0000 0.0000
0.0000 0.0000 0.0000
0.0000 0.5000 0.0000
0.5000 0.5000 0.5000
```

Summary:
As for the raw formation energy: 0.755 eV/atom. Its space-group type is P4/mmm (123).


No. 10
First-principles (GGA-PBE) data for crystalline Sr2MgSb4Au3 at its relaxed geometry, as listed in the Alexandria database.

Geometry as POSCAR:
```
Sr2MgSb4Au3
1.0
-3.4085 3.0616 -1.2602
-2.4977 -3.5650 -1.9055
-5.4677 -1.7724 10.4828
Au Sr Mg Sb
3 2 1 4
Direct
0.0000 0.5000 0.1373
0.5000 0.0000 0.8627
0.0000 0.0000 0.5000
0.5000 0.0000 0.2423
0.0000 0.5000 0.7577
0.5000 0.5000 0.5000
0.0000 0.5000 0.3623
0.5000 0.5000 0.0000
0.5000 0.0000 0.6377
0.0000 0.0000 0.0000
```

Summary:
As for the raw formation energy: -0.573 eV/atom. Its space-group type is P-4m2 (115).


No. 11
First-principles (GGA-PBE) data for crystalline Sr2MgSbAu6 at its relaxed geometry, as listed in the Alexandria database.

Geometry as POSCAR:
```
Sr2MgSbAu6
1.0
9.6478 -0.0007 0.1142
-0.0021 5.5556 0.0319
4.7631 2.7492 4.7874
Au Sb Sr Mg
6 1 2 1
Direct
0.7241 0.2361 0.0241
0.0986 0.2562 0.4878
0.9014 0.7438 0.5122
0.2757 0.2613 0.9756
0.2759 0.7639 0.9759
0.7243 0.7387 0.0244
0.0000 0.0000 0.0000
0.7258 0.2608 0.4780
0.2742 0.7392 0.5220
0.5000 0.5000 0.0000
```

Summary:
As for the raw formation energy: -0.502 eV/atom. Its space-group type is C2/m (12).


No. 12
First-principles (GGA-PBE) data for crystalline MgTaSb2Au at its relaxed geometry, as listed in the Alexandria database.

Geometry as POSCAR:
```
MgTaSb2Au
1.0
-1.2218 5.1810 0.5223
-4.4877 -1.1532 0.9420
1.1595 -0.2523 5.2154
Mg Sb Ta Au
1 2 1 1
Direct
0.0000 0.5000 0.0000
0.0000 0.0000 0.5000
0.5000 0.0000 0.0000
0.5000 0.5000 0.5000
0.0000 0.0000 0.0000
```

Summary:
As for the raw formation energy: 0.982 eV/atom. Its space-group type is P4/mmm (123).


No. 13
First-principles (GGA-PBE) data for crystalline MgSbTe2Au at its relaxed geometry, as listed in the Alexandria database.

Geometry as POSCAR:
```
MgSbTe2Au
1.0
5.5783 0.0000 0.0000
0.0000 5.5783 0.0000
0.0000 0.0000 5.2382
Au Sb Te Mg
1 1 2 1
Direct
0.0000 0.0000 0.0000
0.0000 0.0000 0.5000
0.5000 0.0000 0.0000
0.0000 0.5000 0.0000
0.5000 0.5000 0.5000
```

Summary:
As for the raw formation energy: 0.391 eV/atom. Its space-group type is P4/mmm (123).


No. 14
First-principles (GGA-PBE) data for crystalline MgUSbAu at its relaxed geometry, as listed in the Alexandria database.

Geometry as POSCAR:
```
MgUSbAu
1.0
5.0804 0.0000 0.0000
2.5402 4.3998 0.0000
2.5402 1.4666 4.1481
Mg Sb Au U
1 1 1 1
Direct
0.2500 0.2500 0.2500
0.0000 0.0000 0.0000
0.5000 0.5000 0.5000
0.7500 0.7500 0.7500
```

Summary:
As for the raw formation energy: -0.217 eV/atom. Its space-group type is F-43m (216).


No. 15
First-principles (GGA-PBE) data for crystalline MgSbW2Au at its relaxed geometry, as listed in the Alexandria database.

Geometry as POSCAR:
```
MgSbW2Au
1.0
4.9756 0.0000 0.0000
0.0000 5.0715 0.0000
0.0000 0.0000 4.9756
W Sb Mg Au
2 1 1 1
Direct
0.0000 0.0000 0.5000
0.5000 0.0000 0.0000
0.0000 0.0000 0.0000
0.5000 0.5000 0.5000
0.0000 0.5000 0.0000
```

Summary:
As for the raw formation energy: 1.871 eV/atom. Its space-group type is P4/mmm (123).


No. 16
First-principles (GGA-PBE) data for crystalline YMgSbAu at its relaxed geometry, as listed in the Alexandria database.

Geometry as POSCAR:
```
YMgSbAu
1.0
5.1040 0.0000 0.0000
2.5520 4.4202 0.0000
2.5520 1.4734 4.1674
Mg Au Sb Y
1 1 1 1
Direct
0.2500 0.2500 0.2500
0.0000 0.0000 0.0000
0.5000 0.5000 0.5000
0.7500 0.7500 0.7500
```

Summary:
As for the raw formation energy: -0.578 eV/atom. Its space-group type is F-43m (216).


No. 17
First-principles (GGA-PBE) data for crystalline MgSc2Au6 at its relaxed geometry, as listed in the Alexandria database.

Geometry as POSCAR:
```
MgSc2Au6
1.0
-2.2856 -4.4539 0.6351
5.8090 -2.0515 6.2338
-7.4147 4.1514 2.1449
Sc Au Mg
4 12 2
Direct
0.0000 0.1641 0.3359
0.0000 0.8359 0.6641
0.5000 0.3359 0.1641
0.5000 0.6641 0.8359
0.2402 0.9143 0.4143
0.0021 0.1676 0.0032
0.4980 0.3324 0.4968
0.9979 0.8324 0.9968
0.0020 0.5032 0.6676
0.5021 0.0032 0.1676
0.5020 0.6676 0.5032
0.2598 0.5857 0.0857
0.9980 0.4968 0.3324
0.7598 0.0857 0.5857
0.4979 0.9968 0.8324
0.7402 0.4143 0.9143
0.7500 0.7500 0.2500
0.2500 0.2500 0.7500
```

Summary:
Its space-group type is C2/m (12). The value obtained for the formation energy from the elements is -0.653 eV per atom.


No. 18
First-principles (GGA-PBE) data for crystalline MgSc2Au at its relaxed geometry, as listed in the Alexandria database.

Geometry as POSCAR:
```
MgSc2Au
1.0
-4.9261 6.1524 -1.3498
-5.1171 -2.9099 5.4118
-3.6646 3.1722 4.1481
Sc Au Mg
4 2 2
Direct
0.8750 0.9206 0.7500
0.6706 0.1250 0.2500
0.0794 0.6250 0.2500
0.3750 0.3294 0.7500
0.0000 0.0000 0.0000
0.7500 0.2500 0.5000
0.5000 0.5000 0.0000
0.2500 0.7500 0.5000
```

Summary:
Its space-group type is I-42d (122). The value obtained for the formation energy from the elements is -0.101 eV per atom.


No. 19
First-principles (GGA-PBE) data for crystalline MgSc3Au4 at its relaxed geometry, as listed in the Alexandria database.

Geometry as POSCAR:
```
MgSc3Au4
1.0
-0.6034 -3.7877 2.8505
2.7294 -3.8805 -0.5730
5.9410 0.3837 5.7731
Au Sc Mg
4 3 1
Direct
0.1292 0.1292 0.6125
0.6227 0.6227 0.1318
0.3773 0.3773 0.8682
0.8708 0.8708 0.3875
0.2532 0.2532 0.2405
0.5000 0.5000 0.5000
0.7468 0.7468 0.7595
0.0000 0.0000 0.0000
```

Summary:
Its space-group type is R-3m (166). The value obtained for the formation energy from the elements is -0.783 eV per atom.


No. 20
First-principles (GGA-PBE) data for crystalline MgSc2Au at its relaxed geometry, as listed in the Alexandria database.

Geometry as POSCAR:
```
MgSc2Au
1.0
-2.3492 2.4038 -4.8637
-4.2641 -2.9183 -2.8729
1.7024 2.4747 5.0922
Sc Au Mg
2 1 1
Direct
0.7188 0.2188 0.5000
0.0010 0.0010 0.0000
0.4983 0.4983 0.0000
0.2819 0.7819 0.5000
```

Summary:
Its space-group type is Imm2 (44). The value obtained for the formation energy from the elements is -0.378 eV per atom.


No. 21
First-principles (GGA-PBE) data for crystalline MgScAu2 at its relaxed geometry, as listed in the Alexandria database.

Geometry as POSCAR:
```
MgScAu2
1.0
-0.2223 -5.1169 0.9411
2.3951 -3.8273 2.5948
-2.5157 -0.0907 4.0526
Au Mg Sc
2 1 1
Direct
0.7536 0.7536 0.6977
0.9951 0.9951 0.0468
0.4926 0.4926 0.5593
0.2586 0.2586 0.1962
```

Summary:
Its space-group type is Cm (8). The value obtained for the formation energy from the elements is -0.628 eV per atom.


No. 22
First-principles (GGA-PBE) data for crystalline Mg2ScAu at its relaxed geometry, as listed in the Alexandria database.

Geometry as POSCAR:
```
Mg2ScAu
1.0
-2.6088 -2.4196 1.8056
2.2922 0.2550 3.6536
-2.5165 3.6988 1.3206
Mg Sc Au
2 1 1
Direct
0.5000 0.5000 0.0000
0.0000 0.0000 0.0000
0.5000 0.0000 0.5000
0.0000 0.5000 0.5000
```

Summary:
Its space-group type is Pmmm (47). The value obtained for the formation energy from the elements is -0.391 eV per atom.


No. 23
First-principles (GGA-PBE) data for crystalline Mg2ScAu at its relaxed geometry, as listed in the Alexandria database.

Geometry as POSCAR:
```
Mg2ScAu
1.0
9.6554 0.0343 0.0202
9.0968 3.2367 0.0202
9.0968 1.5868 2.8212
Mg Au Sc
2 1 1
Direct
0.4912 0.4912 0.4912
0.0088 0.0088 0.0088
0.7500 0.7500 0.7500
0.2500 0.2500 0.2500
```

Summary:
Its space-group type is R-3m (166). The value obtained for the formation energy from the elements is -0.172 eV per atom.


No. 24
First-principles (GGA-PBE) data for crystalline Mg3Sc4Au at its relaxed geometry, as listed in the Alexandria database.

Geometry as POSCAR:
```
Mg3Sc4Au
1.0
-1.3882 -1.5384 2.8693
0.1289 -3.1427 -1.6227
12.9714 -2.1212 5.1384
Sc Mg Au
4 3 1
Direct
0.0000 0.0000 0.8870
0.0000 0.0000 0.6322
0.0000 0.0000 0.1130
0.0000 0.0000 0.3678
0.5000 0.5000 0.2428
0.5000 0.5000 0.5000
0.5000 0.5000 0.7572
0.5000 0.5000 0.0000
```

Summary:
Its space-group type is P4/mmm (123). The value obtained for the formation energy from the elements is -0.241 eV per atom.


No. 25
First-principles (GGA-PBE) data for crystalline Mg4ScAu at its relaxed geometry, as listed in the Alexandria database.

Geometry as POSCAR:
```
Mg4ScAu
1.0
2.1681 -4.3065 -3.0038
-3.4050 -4.1222 -1.9192
-1.0956 -0.4214 -5.5580
Sc Mg Au
1 4 1
Direct
0.7500 0.7500 0.7500
0.3751 0.8747 0.3751
0.3751 0.3751 0.3751
0.3751 0.3751 0.8747
0.8747 0.3751 0.3751
0.0000 0.0000 0.0000
```

Summary:
Its space-group type is F-43m (216). The value obtained for the formation energy from the elements is 0.039 eV per atom.


No. 26
First-principles (GGA-PBE) data for crystalline MgSc4Au5 at its relaxed geometry, as listed in the Alexandria database.

Geometry as POSCAR:
```
MgSc4Au5
1.0
-2.5634 -2.1118 -0.6422
-0.1985 -0.7596 3.2904
-11.0416 12.7127 2.2686
Sc Au Mg
4 5 1
Direct
0.0000 0.0000 0.3989
0.0000 0.0000 0.6011
0.0000 0.0000 0.1953
0.0000 0.0000 0.8047
0.5000 0.5000 0.9008
0.5000 0.5000 0.0992
0.5000 0.5000 0.2987
0.5000 0.5000 0.5000
0.5000 0.5000 0.7013
0.0000 0.0000 0.0000
```

Summary:
Its space-group type is P4/mmm (123). The value obtained for the formation energy from the elements is -0.774 eV per atom.


No. 27
First-principles (GGA-PBE) data for crystalline MgScAu2 at its relaxed geometry, as listed in the Alexandria database.

Geometry as POSCAR:
```
MgScAu2
1.0
-6.1109 -3.9373 0.8268
3.8137 -6.1479 -1.0896
-0.5850 -5.2534 3.0306
Mg Au Sc
2 4 2
Direct
0.5000 0.5000 0.0000
0.2500 0.7500 0.5000
0.1319 0.6250 0.2500
0.8750 0.8681 0.7500
0.3750 0.3819 0.7500
0.6181 0.1250 0.2500
0.0000 0.0000 0.0000
0.7500 0.2500 0.5000
```

Summary:
Its space-group type is I-42d (122). The value obtained for the formation energy from the elements is -0.329 eV per atom.